[1]
Here is crystalline CaMgAl at its relaxed geometry from Alexandria via LeMat-Bulk. Energies are from PBE.

Lattice parameters (Å, degrees): 5.006 5.006 5.006 60.00 60.00 60.00
Element x y z (fractional)
1 Al 0.750 0.750 0.750
2 Ca 0.000 0.000 0.000
3 Mg 0.500 0.500 0.500

Properties
formation enthalpy at 0 K: 4 kJ/mol of atoms
space group: F-43m

=====

[2]
Here is crystalline CeDy4Er10 at its relaxed geometry from Alexandria via LeMat-Bulk. Energies are from PBE.

Lattice parameters (Å, degrees): 7.598 9.319 9.319 80.43 65.94 65.94
Site moments in Bohr magnetons follow the coordinates.
Element x y z (fractional)
1 Ce 0.000 0.000 0.000  -1.04
2 Dy 0.399 0.803 0.400  0.04
3 Dy 0.798 0.600 0.803  0.04
4 Dy 0.202 0.400 0.197  0.04
5 Dy 0.601 0.197 0.600  0.04
6 Er 0.250 0.500 0.500  -0.01
7 Er 0.654 0.297 0.899  -0.07
8 Er 0.048 0.101 0.297  -0.07
9 Er 0.447 0.899 0.703  -0.07
10 Er 0.851 0.703 0.101  -0.07
11 Er 0.346 0.703 0.101  -0.07
12 Er 0.750 0.500 0.500  -0.01
13 Er 0.149 0.297 0.899  -0.07
14 Er 0.553 0.101 0.297  -0.07
15 Er 0.952 0.899 0.703  -0.07

Properties
formation enthalpy at 0 K: 74 kJ/mol of atoms
space group: I4/m

=====

[3]
Here is crystalline Pa2AgTeO8 at its relaxed geometry from Alexandria via LeMat-Bulk. Energies are from PBE.

Lattice parameters (Å, degrees): 5.003 5.003 7.212 90.00 90.00 90.17
Element x y z (fractional)
1 Pa 0.500 0.500 0.746
2 Pa 0.500 0.500 0.254
3 Ag 0.000 0.000 0.500
4 Te 0.000 0.000 0.000
5 O 0.201 0.799 0.206
6 O 0.699 0.699 0.000
7 O 0.799 0.201 0.206
8 O 0.799 0.201 0.794
9 O 0.301 0.301 0.000
10 O 0.201 0.799 0.794
11 O 0.677 0.677 0.500
12 O 0.323 0.323 0.500

Properties
formation energy from raw total energies: -2.28 eV/atom
space group: Cmmm

=====

[4]
Here is crystalline KPaBi3 at its relaxed geometry from Alexandria via LeMat-Bulk. Energies are from PBE.

Lattice parameters (Å, degrees): 6.062 6.062 6.062 90.00 90.00 90.00
Element x y z (fractional)
1 K 0.500 0.500 0.500
2 Pa 0.000 0.000 0.000
3 Bi 0.000 0.500 0.000
4 Bi 0.000 0.000 0.500
5 Bi 0.500 0.000 0.000

Properties
formation enthalpy at 0 K: 3 kJ/mol of atoms
space group: Pm-3m

=====

[5]
Here is crystalline Pr2Dy6Er3Th at its relaxed geometry from Alexandria via LeMat-Bulk. Energies are from PBE.

Lattice parameters (Å, degrees): 6.186 6.186 11.795 95.01 95.01 119.94
Element x y z (fractional)
1 Pr 0.333 0.667 0.000
2 Pr 0.667 0.333 0.000
3 Dy 0.915 0.586 0.747
4 Dy 0.756 0.756 0.253
5 Dy 0.085 0.414 0.253
6 Dy 0.586 0.915 0.747
7 Dy 0.244 0.244 0.747
8 Dy 0.414 0.085 0.253
9 Er 0.167 0.833 0.500
10 Er 0.833 0.167 0.500
11 Er 0.500 0.500 0.500
12 Th 0.000 0.000 0.000

Properties
formation enthalpy at 0 K: 3 kJ/mol of atoms
space group: C2/m

=====

[6]
Here is crystalline BeIn2Si at its relaxed geometry from Alexandria via LeMat-Bulk. Energies are from PBE.

Lattice parameters (Å, degrees): 3.856 3.224 6.603 72.20 90.00 90.00
Element x y z (fractional)
1 Be 0.500 0.750 0.750
2 Si 0.500 0.250 0.250
3 In 0.000 0.976 0.987
4 In 0.000 0.524 0.513

Properties
formation energy from raw total energies: 0.57 eV/atom
space group: P2/m

=====

[7]
Here is crystalline Hf2MnTlPb at its relaxed geometry from Alexandria via LeMat-Bulk. Energies are from PBE.

Lattice parameters (Å, degrees): 5.380 5.508 5.380 90.00 90.00 90.00
Site moments in Bohr magnetons follow the coordinates.
Element x y z (fractional)
1 Pb 0.000 0.000 0.000  -0.03
2 Tl 0.000 0.500 0.000  -0.01
3 Mn 0.500 0.500 0.500  0.57
4 Hf 0.000 0.000 0.500  -0.41
5 Hf 0.500 0.000 0.000  -0.29

Properties
formation enthalpy at 0 K: 200 kJ/mol of atoms
space group: P4/mmm

=====

[8]
Here is crystalline DyBe2AlPt5 at its relaxed geometry from Alexandria via LeMat-Bulk. Energies are from PBE.

Lattice parameters (Å, degrees): 4.036 4.036 9.322 90.00 90.00 90.00
Element x y z (fractional)
1 Dy 0.000 0.000 0.500
2 Be 0.500 0.500 0.267
3 Be 0.500 0.500 0.733
4 Al 0.000 0.000 0.000
5 Pt 0.000 0.500 0.167
6 Pt 0.500 0.000 0.167
7 Pt 0.000 0.500 0.833
8 Pt 0.500 0.000 0.833
9 Pt 0.500 0.500 0.500

Properties
formation enthalpy at 0 K: -71 kJ/mol of atoms
space group: P4/mmm

=====

Calculated values (eV per atom) of total energy for the records, taken in order: -2.3998, -3.8998, -7.6670, -4.4189, -4.8216, -3.0847, -4.9571, -5.8438.